Record 1
# SrMg3Tl

An optimized crystal structure of SrMg3Tl (GGA-PBE, Alexandria via LeMat-Bulk).

Cell: 4.6636 4.6664 7.4625 Å, 71.96 71.97 89.96°
With the nearest neighbours (Å) after each atom.
Positions (direct):
Mg1 0.7931 0.5974 0.1180  1 Tl 2.88, 4 Mg 3.03-3.04
Mg2 0.1497 0.4513 0.4075  2 Tl 3.00, 6 Mg 3.03-3.31
Mg3 0.6484 0.9529 0.4073  2 Tl 3.00, 6 Mg 3.03-3.31
Tl1 0.0087 0.8121 0.6885  5 Mg 2.88-3.00
Sr1 0.4078 0.2115 0.8898  4 Tl 3.56-3.57, 6 Mg 3.63-3.98

space-group type: Cm
volume: 146.0 Å³/cell
calculated total energy: -9.48 eV per formula unit
crystal system: monoclinic
distance to the lowest polymorph of the same formula: 0 meV per atom

=====

Record 2
# LiZr2Cl

An optimized crystal structure of LiZr2Cl (GGA-PBE, Alexandria via LeMat-Bulk).

Cell: 3.1080 3.1080 10.1368 Å, 90.00 90.00 119.34°
With the nearest neighbours (Å) after each atom.
Positions (direct):
Zr1 0.0000 0.0000 0.4760  2 Cl 2.78, 4 Zr 3.11
Zr2 0.0000 0.0000 0.0240  2 Cl 2.78, 4 Zr 3.11
Cl1 0.5000 0.5000 0.2500  4 Zr 2.78, 4 Cl 3.11
Li1 0.5000 0.5000 0.7500  6 Li 3.11-3.14, 4 Zr 3.19

energy relative to the elements, uncorrected: -117 meV per atom
space-group type: Cmmm
volume: 85.4 Å³/cell
calculated total energy: -21.32 eV per formula unit
crystal system: orthorhombic
distance to the lowest polymorph of the same formula: 435 meV per atom

=====

Record 3
# Sm2Dy6YEr

An optimized crystal structure of Sm2Dy6YEr (GGA-PBE, Alexandria via LeMat-Bulk).

Cell: 9.6239 8.7859 8.7859 Å, 118.34 94.27 94.27°
With the nearest neighbours (Å) after each atom.
Positions (direct):
Dy1 0.1870 0.5732 0.0204  2 Dy 3.23-3.55, 1 Sm 3.37, 1 Er 3.45, 1 Y 3.59
Dy2 0.3130 0.9796 0.4268  2 Dy 3.23-3.55, 1 Sm 3.37, 1 Er 3.45, 1 Y 3.59
Dy3 0.6197 0.4991 0.7099  4 Dy 3.23-3.52, 3 Sm 3.24-3.42, 2 Er 3.42-3.55
Dy4 0.3803 0.5009 0.2901  4 Dy 3.23-3.52, 3 Sm 3.24-3.42, 2 Er 3.42-3.55
Dy5 0.0564 0.1268 0.7478  7 Dy 3.39-3.73, 1 Sm 3.50, 1 Y 3.67, 1 Er 3.79
Dy6 0.6870 0.0204 0.5732  2 Dy 3.23-3.55, 1 Sm 3.37, 1 Er 3.45, 1 Y 3.59
Dy7 0.8803 0.2901 0.5009  4 Dy 3.23-3.52, 3 Sm 3.24-3.42, 2 Er 3.42-3.55
Dy8 0.4436 0.2522 0.8732  7 Dy 3.39-3.73, 1 Sm 3.50, 1 Y 3.67, 1 Er 3.79
Dy9 0.8130 0.4268 0.9796  2 Dy 3.23-3.55, 1 Sm 3.37, 1 Er 3.45, 1 Y 3.59
Dy10 0.1197 0.7099 0.4991  4 Dy 3.23-3.52, 3 Sm 3.24-3.42, 2 Er 3.42-3.55
Dy11 0.5564 0.7478 0.1268  7 Dy 3.39-3.73, 1 Sm 3.50, 1 Y 3.67, 1 Er 3.79
Dy12 0.9436 0.8732 0.2522  7 Dy 3.39-3.73, 1 Sm 3.50, 1 Y 3.67, 1 Er 3.79
Sm1 0.0427 0.3021 0.1955  5 Dy 3.24-3.50, 2 Y 3.37-3.39, 1 Er 3.55
Sm2 0.9573 0.6979 0.8045  5 Dy 3.24-3.50, 2 Y 3.37-3.39, 1 Er 3.55
Sm3 0.4573 0.8045 0.6979  5 Dy 3.24-3.50, 2 Y 3.37-3.39, 1 Er 3.55
Sm4 0.5427 0.1955 0.3021  5 Dy 3.24-3.50, 2 Y 3.37-3.39, 1 Er 3.55
Er1 0.2500 0.4081 0.5919  8 Dy 3.42-3.79, 2 Sm 3.55
Er2 0.7500 0.5919 0.4081  8 Dy 3.42-3.79, 2 Sm 3.55
Y1 0.2500 0.9802 0.0198  4 Sm 3.37-3.39, 4 Dy 3.59-3.67
Y2 0.7500 0.0198 0.9802  4 Sm 3.37-3.39, 4 Dy 3.59-3.67

space-group type: C2/c
volume: 646.9 Å³/cell
calculated total energy: -46.93 eV per formula unit
crystal system: monoclinic

=====

Record 4
# OsRhPb

An optimized crystal structure of OsRhPb (GGA-PBE, Alexandria via LeMat-Bulk).

Cell: 3.5103 4.3730 15.3350 Å, 90.00 102.20 90.00°
With the nearest neighbours (Å) after each atom.
Positions (direct):
Pb1 0.5946 0.5000 0.7128  4 Os 2.92-2.98, 2 Rh 2.97-3.05
Pb2 0.2553 0.5000 0.3726  6 Rh 2.84-3.10
Pb3 0.5946 0.0000 0.2128  4 Os 2.92-2.98, 2 Rh 2.97-3.05
Pb4 0.2553 0.0000 0.8726  6 Rh 2.84-3.10
Rh1 0.8024 0.0000 0.4111  2 Os 2.61-2.62, 4 Pb 2.84-2.89, 2 Rh 2.89
Rh2 0.8702 0.0000 0.0370  6 Os 2.71-2.91, 2 Rh 2.89, 1 Pb 2.95
Rh3 0.8702 0.5000 0.5370  6 Os 2.71-2.91, 2 Rh 2.89, 1 Pb 2.95
Rh4 0.8024 0.5000 0.9111  2 Os 2.61-2.62, 4 Pb 2.84-2.89, 2 Rh 2.89
Os1 0.0523 0.5000 0.1524  2 Os 2.35-2.50
Os2 0.0523 0.0000 0.6524  2 Os 2.35-2.50
Os3 0.4197 0.0000 0.5407  2 Os 2.35-2.50, 2 Rh 2.61-2.62
Os4 0.4197 0.5000 0.0407  2 Os 2.35-2.50, 2 Rh 2.61-2.62

space-group type: Cm
volume: 230.1 Å³/cell
calculated total energy: -20.89 eV per formula unit
crystal system: monoclinic
distance to the lowest polymorph of the same formula: 10 meV per atom